Record 1
CaLa2In: relaxed, PBE.

volume = 135.9 Å³/f.u.
energy relative to the lowest polymorph listed for this composition = 23 meV per atom
calculated formation energy = -225 meV/atom

Unit cell a=3.872 b=4.719 c=7.437 alpha=90.00 beta=90.00 gamma=90.00
Fractional coordinates of all 4 atoms:
Ca  0.000  0.000  0.000
La  0.500  0.500  0.282
La  0.500  0.500  0.718
In  0.000  0.000  0.500

***

Record 2
Ac2TmF11: relaxed, PBE.

volume = 278.2 Å³/f.u.
formation energy (no corrections) = -4693 kJ/mol of formula units

Unit cell a=9.054 b=9.054 c=9.054 alpha=119.67 beta=107.40 gamma=101.89
Fractional coordinates of all 28 atoms:
Ac  0.192  0.175  0.367
Ac  0.308  0.675  0.982
Ac  0.692  0.325  0.018
Ac  0.808  0.825  0.633
Tm  0.250  0.750  0.500
Tm  0.750  0.250  0.500
F  0.000  0.000  0.000
F  0.012  0.439  0.759
F  0.071  0.819  0.620
F  0.179  0.939  0.427
F  0.180  0.899  0.079
F  0.199  0.451  0.380
F  0.301  0.681  0.252
F  0.320  0.399  0.718
F  0.321  0.747  0.759
F  0.429  0.049  0.748
F  0.488  0.247  0.427
F  0.500  0.500  0.000
F  0.512  0.753  0.573
F  0.571  0.951  0.252
F  0.679  0.253  0.241
F  0.680  0.601  0.282
F  0.699  0.319  0.748
F  0.801  0.549  0.620
F  0.820  0.101  0.921
F  0.821  0.061  0.573
F  0.929  0.181  0.380
F  0.988  0.561  0.241

***

Record 3
Be2WAu: relaxed, PBE.

volume = 54.1 Å³/f.u.
energy relative to the lowest polymorph listed for this composition = 448 meV per atom
calculated formation energy = 552 meV/atom

Unit cell a=5.220 b=5.220 c=5.220 alpha=106.02 beta=106.02 gamma=116.62
Fractional coordinates of all 8 atoms:
Be  0.110  0.625  0.985
Be  0.375  0.360  0.485
Be  0.640  0.125  0.015
Be  0.875  0.890  0.515
W  0.250  0.750  0.500
W  0.500  0.500  0.000
Au  0.000  0.000  0.000
Au  0.750  0.250  0.500

***

Record 4
Mn2Co4Sb: relaxed, PBE.

volume = 126.2 Å³/f.u.
formation energy (no corrections) = 781 kJ/mol of formula units

Unit cell a=6.977 b=6.977 c=6.977 alpha=142.29 beta=142.29 gamma=54.39
Fractional coordinates of all 7 atoms:
Mn  0.110  0.110  0.000
Mn  0.890  0.890  0.000
Co  0.000  0.500  0.500
Co  0.299  0.299  0.000
Co  0.500  0.000  0.500
Co  0.701  0.701  0.000
Sb  0.500  0.500  0.000

***

Which formula does entry 3 have?
Be2WAu

***

Among the records above, which one has the highest volume?
Ac2TmF11

***

Look up the volume of the fourth one.
126.2 Å³/f.u.